# 1
Ce3Ga4Ge2 after structural relaxation, computed with GGA-PBE.

a b c (Å): 6.025 6.025 8.493
angles (deg): 99.47 99.47 41.15
Atoms (fractional coordinates):
Ce1 0.000 0.000 0.000
Ce2 0.332 0.332 0.334
Ce3 0.668 0.668 0.666
Ga1 0.032 0.032 0.368
Ga2 0.295 0.295 0.965
Ga3 0.705 0.705 0.035
Ga4 0.968 0.968 0.632
Ge1 0.373 0.373 0.707
Ge2 0.627 0.627 0.293

The formation energy from the elements is -628 meV/atom. The space-group type is C2/m (12). As for the total DFT energy (no corrections): -0.18290 Ha/atom.



# 2
Ce5GaGe5 after structural relaxation, computed with GGA-PBE.

a b c (Å): 7.786 7.786 6.641
angles (deg): 104.43 104.43 45.75
Atoms (fractional coordinates):
Ce1 0.000 0.000 0.000
Ce2 0.318 0.318 0.166
Ce3 0.358 0.358 0.743
Ce4 0.642 0.642 0.257
Ce5 0.682 0.682 0.834
Ga1 0.000 0.000 0.500
Ge1 0.160 0.160 0.797
Ge2 0.168 0.168 0.401
Ge3 0.500 0.500 0.500
Ge4 0.832 0.832 0.599
Ge5 0.840 0.840 0.203

The formation energy from the elements is -331 meV/atom. The space-group type is C2/m (12). As for the total DFT energy (no corrections): -0.19854 Ha/atom.



# 3
Ce3Ga2Ge4 after structural relaxation, computed with GGA-PBE.

a b c (Å): 5.965 5.965 8.528
angles (deg): 102.58 102.58 42.34
Atoms (fractional coordinates):
Ce1 0.000 0.000 0.000
Ce2 0.335 0.335 0.330
Ce3 0.665 0.665 0.670
Ga1 0.389 0.389 0.722
Ga2 0.611 0.611 0.278
Ge1 0.061 0.061 0.391
Ge2 0.281 0.281 0.945
Ge3 0.719 0.719 0.055
Ge4 0.939 0.939 0.609

The formation energy from the elements is -591 meV/atom. The space-group type is C2/m (12). As for the total DFT energy (no corrections): -0.19453 Ha/atom.



# 4
Ce3Ga3Ge2 after structural relaxation, computed with GGA-PBE.

a b c (Å): 16.243 4.134 5.510
angles (deg): 90.00 95.27 90.00
Atoms (fractional coordinates):
Ce1 0.000 0.000 0.000
Ce2 0.151 0.000 0.632
Ce3 0.349 0.500 0.368
Ce4 0.500 0.500 0.000
Ce5 0.651 0.500 0.632
Ce6 0.849 0.000 0.368
Ga1 0.000 0.500 0.500
Ga2 0.129 0.500 0.174
Ga3 0.371 0.000 0.826
Ga4 0.500 0.000 0.500
Ga5 0.629 0.000 0.174
Ga6 0.871 0.500 0.826
Ge1 0.222 0.000 0.160
Ge2 0.278 0.500 0.840
Ge3 0.722 0.500 0.160
Ge4 0.778 0.000 0.840

The formation energy from the elements is -431 meV/atom. The space-group type is C2/m (12). As for the total DFT energy (no corrections): -0.18176 Ha/atom.